# 1
The following is a PBE calculation of V2Ni8Pt after structural relaxation, from Alexandria.

Summary:
energy of formation = -200 meV per atom
ρ = 9.95 g/cm3
Fermi-level density of states = 14.91 states/eV per cell

abc: 3.599 5.658 6.748
angles: 104.45 105.47 90.00
Element x y z (fractional)
Ni1 0.770 0.364 0.540
Ni2 0.230 0.636 0.460
Ni3 0.316 0.095 0.632
Ni4 0.591 0.458 0.182
Ni5 0.049 0.726 0.097
Ni6 0.409 0.542 0.818
Ni7 0.684 0.905 0.368
Ni8 0.951 0.274 0.903
Pt1 0.500 0.000 0.000
V1 0.143 0.192 0.285
V2 0.857 0.808 0.715

=====

# 2
The following is a PBE calculation of V2Ni5Pt4 after structural relaxation, from Alexandria.

Summary:
energy of formation = -151 meV per atom
ρ = 13.26 g/cm3
Fermi-level density of states = 12.31 states/eV per cell

abc: 4.980 4.980 7.809
angles: 65.92 65.99 59.37
Each line ends with the local moment (μB).
Element x y z (fractional)
Ni1 0.767 0.270 0.212  0.01
Ni2 0.269 0.767 0.213  0.01
Ni3 0.233 0.730 0.788  0.01
Ni4 0.731 0.233 0.787  0.01
Ni5 0.000 0.000 0.500  0.10
Pt1 0.282 0.283 0.186  0.01
Pt2 0.305 0.304 0.560  0.00
Pt3 0.718 0.717 0.814  0.01
Pt4 0.695 0.696 0.440  0.00
V1 0.813 0.813 0.083  0.00
V2 0.187 0.187 0.917  0.00

=====

# 3
The following is a PBE calculation of V3Ni5Pt after structural relaxation, from Alexandria.

Summary:
energy of formation = 203 meV per atom
ρ = 9.05 g/cm3
Fermi-level density of states = 19.03 states/eV per cell

abc: 6.847 6.847 6.975
angles: 119.40 119.40 90.00
Each line ends with the local moment (μB).
Element x y z (fractional)
Ni1 0.087 0.587 0.740  -0.01
Ni2 0.500 0.500 0.000  -0.07
Ni3 0.847 0.913 0.260  -0.01
Ni4 0.587 0.653 0.740  -0.01
Ni5 0.653 0.153 0.740  -0.01
Ni6 0.347 0.847 0.260  -0.01
Ni7 0.913 0.413 0.260  -0.01
Ni8 0.413 0.347 0.260  -0.01
Ni9 0.000 0.000 0.000  -0.07
Ni10 0.153 0.087 0.740  -0.01
V1 0.605 0.105 0.000  0.08
V2 0.750 0.750 0.500  0.95
V3 0.395 0.895 0.000  0.08
V4 0.105 0.395 0.000  0.08
V5 0.895 0.605 0.000  0.08
V6 0.250 0.250 0.500  0.95
Pt1 0.750 0.250 0.500  0.01
Pt2 0.250 0.750 0.500  0.01

=====

- Look up the ρ of the second one.
  13.26 g/cm3